Here is an optimized crystal structure of Li2Ca6Cd from Alexandria via LeMat-Bulk. Energies are from PBE.

CIF file:
```
data_Li2Ca6Cd
_chemical_formula_sum 'Li8 Ca24 Cd4'
_space_group_name_H-M_alt 'F m m m'
_space_group_IT_number 69
_space_group_name_Hall '-F 2 2'
_cell_length_a 5.524
_cell_length_b 13.342
_cell_length_c 16.584
_cell_angle_alpha 90.00
_cell_angle_beta 90.00
_cell_angle_gamma 90.00
loop_
_atom_site_label
_atom_site_fract_x
_atom_site_fract_y
_atom_site_fract_z
Li1 0.000 0.000 0.167
Ca1 0.000 0.142 0.000
Ca2 0.000 0.146 0.336
Cd1 0.000 0.000 0.500
```

Computed properties:
* uncorrected energy: -1.9353 eV per atom
* total moment: 0.0 μB per cell
* crystal system: orthorhombic
* ΔH_f (0 K): -0.07 eV per atom
* D(E_F): 1.2053 states/eV/atom